# 1
VASP calculation (PBE-GGA) on a relaxed ReI2Cl6 crystal.

Computed properties:
N(E_F) (states/eV/cell): 13.5

Unit cell a=8.3825 b=3.7138 c=25.1790 alpha=101.64 beta=90.00 gamma=90.00
With the nearest neighbours (Å) after each atom.
Sites, in units of the cell vectors:
I  0.3464  0.2514  0.7502  2 Cl 2.57-2.59
I  0.6536  0.7486  0.2498  2 Cl 2.57-2.59
I  0.1536  0.7514  0.2502  2 Cl 2.57-2.59
I  0.8464  0.2486  0.7498  2 Cl 2.57-2.59
Cl  0.6431  0.9414  0.9570  2 Re 2.45
Cl  0.6820  0.5957  0.0697  1 Re 2.30
Cl  0.1820  0.9043  0.4303  1 Re 2.30
Cl  0.9019  0.6360  0.3039  2 I 2.57-2.59
Cl  0.0981  0.3640  0.6961  2 I 2.57-2.59
Cl  0.8569  0.4414  0.4570  2 Re 2.45
Cl  0.1431  0.5586  0.5430  2 Re 2.45
Cl  0.3569  0.0586  0.0430  2 Re 2.45
Cl  0.8180  0.0957  0.5697  1 Re 2.30
Cl  0.3180  0.4043  0.9303  1 Re 2.30
Cl  0.4019  0.8640  0.1961  2 I 2.57-2.59
Cl  0.5981  0.1360  0.8039  2 I 2.57-2.59
Re  0.0000  0.0000  0.5000  6 Cl 2.30-2.45
Re  0.5000  0.5000  0.0000  6 Cl 2.30-2.45

# 2
VASP calculation (PBE-GGA) on a relaxed Re2ICl crystal.

Computed properties:
N(E_F) (states/eV/cell): 2.7

Unit cell a=4.5659 b=4.5659 c=4.5659 alpha=60.00 beta=60.00 gamma=60.00
With the nearest neighbours (Å) after each atom.
Sites, in units of the cell vectors:
Re  0.7500  0.7500  0.7500  4 I 2.80, 4 Cl 2.80
Re  0.2500  0.2500  0.2500  4 I 2.80, 4 Cl 2.80
I  0.5000  0.5000  0.5000  8 Re 2.80
Cl  0.0000  0.0000  0.0000  8 Re 2.80

# 3
VASP calculation (PBE-GGA) on a relaxed ReICl3 crystal.

Unit cell a=6.8641 b=7.5555 c=7.5555 alpha=68.97 beta=62.98 gamma=62.98
With the nearest neighbours (Å) after each atom.
Sites, in units of the cell vectors:
Re  0.6919  0.0000  0.0000  4 Cl 2.31-2.37
Re  0.3081  0.0000  0.0000  4 Cl 2.31-2.37
I  0.1788  0.8212  0.8212  2 Re 2.82
I  0.8212  0.1788  0.1788  2 Re 2.82
Cl  0.7241  0.7308  0.2692  1 Re 2.31
Cl  0.7241  0.2692  0.7308  1 Re 2.31
Cl  0.3105  0.1895  0.1895  2 Re 2.37
Cl  0.2759  0.2692  0.7308  1 Re 2.31
Cl  0.2759  0.7308  0.2692  1 Re 2.31
Cl  0.6895  0.8105  0.8105  2 Re 2.37

# 4
VASP calculation (PBE-GGA) on a relaxed Re3ICl crystal.

Computed properties:
N(E_F) (states/eV/cell): 4.8

Unit cell a=4.4819 b=4.4819 c=4.4819 alpha=90.00 beta=90.00 gamma=90.00
With the nearest neighbours (Å) after each atom.
Sites, in units of the cell vectors:
Cl  0.0000  0.0000  0.0000  6 Re 2.24
Re  0.0000  0.0000  0.5000  2 Cl 2.24
Re  0.0000  0.5000  0.0000  2 Cl 2.24
Re  0.5000  0.0000  0.0000  2 Cl 2.24
I  0.5000  0.5000  0.5000  12 Re 3.17

# 5
VASP calculation (PBE-GGA) on a relaxed Re2ICl crystal.

Computed properties:
N(E_F) (states/eV/cell): 5.7

Unit cell a=4.4795 b=4.4795 c=8.6975 alpha=75.08 beta=75.08 gamma=90.00
With the nearest neighbours (Å) after each atom.
Sites, in units of the cell vectors:
Re  0.2302  0.6250  0.2500  2 Cl 2.40, 2 Re 2.59
Re  0.8750  0.7698  0.7500  2 Cl 2.40, 2 Re 2.59
Re  0.3750  0.4802  0.7500  2 Cl 2.40, 2 Re 2.59
Re  0.5198  0.1250  0.2500  2 Cl 2.40, 2 Re 2.59
I  0.7500  0.2500  0.5000  4 Re 2.81
I  0.0000  0.0000  0.0000  4 Re 2.81
Cl  0.5000  0.5000  0.0000  4 Re 2.40
Cl  0.2500  0.7500  0.5000  4 Re 2.40

# 6
VASP calculation (PBE-GGA) on a relaxed ReRhICl2 crystal.

Computed properties:
N(E_F) (states/eV/cell): 3.0

Unit cell a=3.1970 b=4.7977 c=7.2717 alpha=96.68 beta=91.02 gamma=90.00
With the nearest neighbours (Å) after each atom.
Sites, in units of the cell vectors:
Re  0.2171  0.2608  0.1327  3 Cl 2.33-2.45, 2 Rh 2.59
Rh  0.7263  0.0501  0.3614  2 Re 2.59, 2 I 2.89
Cl  0.2126  0.7001  0.0250  1 Re 2.33
Cl  0.7069  0.1656  0.8784  2 Re 2.45
I  0.2310  0.5886  0.4614  1 Re 2.70, 2 Rh 2.89

Calculated values (eV per atom) of E_form (uncorrected) for the records, taken in order: -0.295, 1.689, -0.432, 2.297, 1.161, 0.251.
Calculated values (μB/f.u.) of magnetization for the records, taken in order: 2.48, 0.00, 1.00, 0.00, 0.00, 0.00.